This record from Alexandria via LeMat-Bulk describes a geometry-optimized Pr2NiI structure. The functional is PBE.

```
Pr2NiI
1.0
3.6050 0.0000 0.0000
0.0000 3.6050 0.0000
0.0000 0.0000 8.4325
Pr I Ni
2 1 1
direct
0.0000 0.0000 0.7961
0.0000 0.0000 0.2039
0.5000 0.5000 0.5000
0.5000 0.5000 0.0000
```

Results
Formation energy (no corrections)   -0.45 eV/atom
Offset from the most stable computed form   204 meV/atom
E_tot   -4.6759 eV per atom
Spin magnetization   0.0 Bohr magnetons per cell
Fermi-level density of states   3.73 states/eV/cell

---

This record from Alexandria via LeMat-Bulk describes a geometry-optimized Nd4GeTeCl2 structure. The functional is PBE.

```
Nd4GeTeCl2
1.0
4.3363 0.0000 0.0000
0.0000 7.1132 0.0150
0.0000 2.6653 7.2570
Nd Ge Te Cl
4 1 1 2
direct
0.0000 0.7389 0.7805
0.0000 0.2611 0.2195
0.5000 0.7560 0.2160
0.5000 0.2440 0.7840
0.5000 0.5000 0.0000
0.0000 0.5000 0.5000
0.0000 0.0000 0.0000
0.5000 0.0000 0.5000
```

Results
Formation energy (no corrections)   -1.33 eV/atom
E_tot   -5.1484 eV per atom
Spin magnetization   0.0 Bohr magnetons per cell
Fermi-level density of states   3.61 states/eV/cell

---

This record from Alexandria via LeMat-Bulk describes a geometry-optimized Ac3Tl2Rh structure. The functional is PBE.

```
Ac3Tl2Rh
1.0
5.4734 0.0000 1.7284
-0.0002 8.1314 0.0005
0.0427 -0.0006 9.2616
Ac Tl Rh
6 4 2
direct
0.5000 0.2500 0.9999
0.5000 0.7500 0.0001
0.1282 0.0000 0.7411
0.8718 0.5000 0.2589
0.1282 0.5000 0.7411
0.8718 0.0000 0.2589
0.6961 0.7500 0.6059
0.6967 0.2500 0.6057
0.3033 0.7500 0.3943
0.3039 0.2500 0.3941
0.0000 0.7500 0.0000
0.0000 0.2500 0.0000
```

Results
Offset from the most stable computed form   0 meV/atom
E_tot   -4.5011 eV per atom
Spin magnetization   0.0 Bohr magnetons per cell
Calculated formation energy   -0.433 eV/atom
Fermi-level density of states   10.22 states/eV/cell

---

This record from Alexandria via LeMat-Bulk describes a geometry-optimized Tl2NiSe structure. The functional is PBE.

```
Tl2NiSe
1.0
-1.0351 2.5164 -2.0222
0.4096 -2.0035 -2.7039
-7.9627 -2.6605 0.7652
Ni Se Tl
1 1 2
direct
0.0000 0.0000 0.5946
0.5000 0.5000 0.6574
0.0000 0.0000 0.9496
0.5000 0.5000 0.2984
```

Results
Formation energy (no corrections)   -0.02 eV/atom
Offset from the most stable computed form   147 meV/atom
E_tot   -3.5242 eV per atom
Spin magnetization   0.0 Bohr magnetons per cell
Fermi-level density of states   3.68 states/eV/cell

---

This record from Alexandria via LeMat-Bulk describes a geometry-optimized YFeHg2 structure. The functional is PBE.

```
YFeHg2
1.0
-2.5709 1.0401 3.1236
-2.5842 -3.0930 -1.0970
2.4354 -7.4350 7.2730
Y Hg Fe
2 4 2
direct
0.0000 0.0000 0.0000
0.7500 0.2500 0.5000
0.5961 0.1250 0.2500
0.1539 0.6250 0.2500
0.3750 0.4039 0.7500
0.8750 0.8461 0.7500
0.5000 0.5000 0.0000
0.2500 0.7500 0.5000
```

Results
E_tot   -3.4743 eV per atom
Spin magnetization   0.0 Bohr magnetons per cell
Calculated formation energy   0.408 eV/atom
Fermi-level density of states   11.83 states/eV/cell

---

This record from Alexandria via LeMat-Bulk describes a geometry-optimized Zr2IrW structure. The functional is PBE.

```
Zr2IrW
1.0
5.5213 0.0031 0.0000
2.6864 4.8237 0.0000
-4.1039 -2.4134 2.7962
Ir W Zr
1 1 2
direct
0.5000 0.5000 0.0000
0.7500 0.2500 0.5000
0.0000 0.0000 0.0000
0.2500 0.7500 0.5000
```

Results
E_tot   -9.8740 eV per atom
Spin magnetization   0.0 Bohr magnetons per cell
Calculated formation energy   -0.146 eV/atom
Fermi-level density of states   3.17 states/eV/cell

---

This record from Alexandria via LeMat-Bulk describes a geometry-optimized Lu2MgAg structure. The functional is PBE.

```
Lu2MgAg
1.0
-2.0521 -1.0005 -2.8663
0.4528 -3.5219 0.9051
-5.8904 0.2996 4.1126
Mg Lu Ag
1 2 1
direct
0.5000 0.5000 0.5000
0.0000 0.0000 0.7624
0.0000 0.0000 0.2376
0.5000 0.5000 0.0000
```

Results
Offset from the most stable computed form   0 meV/atom
E_tot   -3.5547 eV per atom
Spin magnetization   0.0 Bohr magnetons per cell
Calculated formation energy   -0.183 eV/atom
Fermi-level density of states   3.29 states/eV/cell

---

This record from Alexandria via LeMat-Bulk describes a geometry-optimized Ce2Sm3DySb6 structure. The functional is PBE.

```
Ce2Sm3DySb6
1.0
-1.3650 -4.1815 -0.7616
0.6724 -1.8091 8.7279
-8.4708 5.2511 -0.5649
Ce Sm Dy Sb
2 3 1 6
direct
0.8343 0.6683 0.6686
0.1657 0.3317 0.3314
0.5000 0.5000 0.0000
0.8331 0.1657 0.6662
0.1669 0.8343 0.3338
0.5000 0.0000 0.0000
0.3349 0.9176 0.6697
0.6669 0.5834 0.3338
0.6651 0.0824 0.3303
0.9997 0.2461 0.9994
0.0003 0.7539 0.0006
0.3331 0.4166 0.6662
```

Results
Formation energy (no corrections)   -1.13 eV/atom
E_tot   -5.7397 eV per atom
Spin magnetization   1.5 Bohr magnetons per cell
Fermi-level density of states   14.72 states/eV/cell

---

This record from Alexandria via LeMat-Bulk describes a geometry-optimized Al2Hg2As structure. The functional is PBE.

```
Al2Hg2As
1.0
4.0971 0.0000 0.0000
0.0000 4.0971 0.0000
2.0485 2.0485 6.6161
As Hg Al
1 2 2
direct
0.0000 0.0000 0.0000
0.7500 0.2500 0.5000
0.2500 0.7500 0.5000
0.4051 0.4051 0.1898
0.5949 0.5949 0.8102
```

Results
Offset from the most stable computed form   193 meV/atom
E_tot   -2.2277 eV per atom
Spin magnetization   0.0 Bohr magnetons per cell
Calculated formation energy   0.320 eV/atom
Fermi-level density of states   1.61 states/eV/cell

---

This record from Alexandria via LeMat-Bulk describes a geometry-optimized TlIrRu2C structure. The functional is PBE.

```
TlIrRu2C
1.0
-1.9491 -1.3622 4.4524
-3.8566 -2.1409 -2.3432
2.5475 -4.3523 -0.2164
Ru Tl Ir C
2 1 1 1
direct
0.0000 0.0000 0.5000
0.5000 0.0000 0.0000
0.0000 0.0000 0.0000
0.0000 0.5000 0.0000
0.5000 0.5000 0.5000
```

Results
E_tot   -4.1424 eV per atom
Spin magnetization   4.4 Bohr magnetons per cell
Calculated formation energy   3.658 eV/atom
Fermi-level density of states   8.17 states/eV/cell

---

This record from Alexandria via LeMat-Bulk describes a geometry-optimized CsBr2N2 structure. The functional is PBE.

```
CsBr2N2
1.0
7.7978 0.0000 0.0000
-3.8989 6.0782 -0.5019
0.0000 -3.1310 5.7601
Cs Br N
1 2 2
direct
0.0000 0.0000 0.0000
0.1421 0.2841 0.6445
0.8579 0.7159 0.3555
0.5127 0.0254 0.0956
0.4873 0.9746 0.9044
```

Results
Formation energy (no corrections)   -0.55 eV/atom
Offset from the most stable computed form   82 meV/atom
E_tot   -4.7215 eV per atom
Spin magnetization   1.0 Bohr magnetons per cell

---

This record from Alexandria via LeMat-Bulk describes a geometry-optimized Li3AcTl2 structure. The functional is PBE.

```
Li3AcTl2
1.0
-0.9906 -1.7099 4.2901
5.8646 -6.0277 -3.6484
3.4131 6.5144 3.3844
Li Ac Tl
6 2 4
direct
0.3101 0.6202 0.5387
0.9633 0.9267 0.6166
0.5929 0.1858 0.6541
0.4071 0.8142 0.3459
0.0367 0.0733 0.3834
0.6899 0.3798 0.4612
0.8547 0.7093 0.9333
0.1453 0.2907 0.0667
0.4761 0.9521 0.8009
0.5239 0.0479 0.1991
0.8053 0.6105 0.3020
0.1947 0.3895 0.6980
```

Results
Offset from the most stable computed form   27 meV/atom
E_tot   -2.6553 eV per atom
Spin magnetization   0.0 Bohr magnetons per cell
Calculated formation energy   -0.225 eV/atom
Fermi-level density of states   8.91 states/eV/cell

---

This record from Alexandria via LeMat-Bulk describes a geometry-optimized Ta2NiIrN structure. The functional is PBE.

```
Ta2NiIrN
1.0
-3.1209 0.9974 -2.6474
2.2043 -1.6133 -3.2064
-1.6029 -3.4000 0.6087
Ni N Ir Ta
1 1 1 2
direct
0.0000 0.0000 0.5000
0.0000 0.0000 0.0000
0.5000 0.5000 0.5000
0.0000 0.5000 0.0000
0.5000 0.0000 0.0000
```

Results
Formation energy (no corrections)   -0.59 eV/atom
E_tot   -9.9218 eV per atom
Spin magnetization   0.0 Bohr magnetons per cell
Fermi-level density of states   2.79 states/eV/cell

---

This record from Alexandria via LeMat-Bulk describes a geometry-optimized YMgTl structure. The functional is PBE.

```
YMgTl
1.0
6.2039 -0.0101 0.0120
2.0844 5.8089 0.0141
-1.9945 -1.4150 4.3177
Y Mg Tl
2 2 2
direct
0.9193 0.8662 0.1351
0.3953 0.3535 0.1168
0.8070 0.2913 0.7916
0.5078 0.9284 0.4603
0.9869 0.4345 0.4531
0.3276 0.7854 0.7988
```

Results
E_tot   -3.6981 eV per atom
Spin magnetization   0.0 Bohr magnetons per cell
Calculated formation energy   -0.223 eV/atom
Fermi-level density of states   4.47 states/eV/cell